No. 1
# Li2CdSb meta-GGA SCAN PBEsol geometry
data_Li2CdSb
_chemical_formula_sum 'Li6 Cd3 Sb3'
_cell_length_a 3.2195
_cell_length_b 3.2195
_cell_length_c 27.4623
_cell_angle_alpha 90.00
_cell_angle_beta 90.00
_cell_angle_gamma 120.00
_symmetry_space_group_name_H-M 'R -3 m'
_symmetry_Int_Tables_number 166
_symmetry_space_group_name_Hall '-R 3 2"'
loop_
_atom_site_label
_atom_site_fract_x
_atom_site_fract_y
_atom_site_fract_z
Li1 0.0000 0.0000 0.2473
Cd1 0.0000 0.0000 0.0000
Sb1 0.0000 0.0000 0.5000
# * ΔE_f (raw): -0.267 eV/atom
# * ΔE to the lowest computed polymorph: 160 meV per atom
# * E_tot: -18.380 eV per atom



No. 2
# SiHgBr2 meta-GGA SCAN PBEsol geometry
data_SiHgBr2
_chemical_formula_sum 'Si2 Hg2 Br4'
_cell_length_a 3.472
_cell_length_b 4.945
_cell_length_c 12.785
_cell_angle_alpha 90.00
_cell_angle_beta 90.00
_cell_angle_gamma 90.00
_symmetry_space_group_name_H-M 'I m m m'
_symmetry_Int_Tables_number 71
_symmetry_space_group_name_Hall '-I 2 2'
loop_
_atom_site_label
_atom_site_fract_x
_atom_site_fract_y
_atom_site_fract_z
Si1 0.000 0.000 0.000
Hg1 0.000 0.000 0.500
Br1 0.000 0.500 0.340
# * ΔE_f (raw): 0.058 eV/atom
# * ΔE to the lowest computed polymorph: 0 meV per atom
# * E_tot: -29.217 eV per atom



No. 3
# Re2Rh meta-GGA SCAN PBEsol geometry
data_Re2Rh
_chemical_formula_sum 'Re8 Rh4'
_cell_length_a 9.916
_cell_length_b 2.730
_cell_length_c 6.462
_cell_angle_alpha 90.00
_cell_angle_beta 104.08
_cell_angle_gamma 90.00
_symmetry_space_group_name_H-M 'C 1 2/m 1'
_symmetry_Int_Tables_number 12
loop_
_symmetry_equiv_pos_as_xyz
'x,y,z'
'-x,-y,-z'
'-x,y,-z'
'x,-y,z'
'x+1/2,y+1/2,z'
'-x+1/2,-y+1/2,-z'
'-x+1/2,y+1/2,-z'
'x+1/2,-y+1/2,z'
loop_
_atom_site_label
_atom_site_fract_x
_atom_site_fract_y
_atom_site_fract_z
Re1 0.031 0.000 0.306
Re2 0.139 0.500 0.026
Rh1 0.192 0.500 0.638
# * ΔE to the lowest computed polymorph: 44 meV per atom
# * formation energy: -0.116 eV/atom
# * E_tot: -58.771 eV per atom



No. 4
# Y2FeTe meta-GGA SCAN PBEsol geometry
data_Y2FeTe
_chemical_formula_sum 'Y4 Fe2 Te2'
_cell_length_a 4.476
_cell_length_b 4.958
_cell_length_c 8.106
_cell_angle_alpha 90.00
_cell_angle_beta 90.00
_cell_angle_gamma 90.00
_symmetry_space_group_name_H-M 'I m m m'
_symmetry_Int_Tables_number 71
_symmetry_space_group_name_Hall '-I 2 2'
loop_
_atom_site_label
_atom_site_fract_x
_atom_site_fract_y
_atom_site_fract_z
Y1 0.000 0.000 0.237
Fe1 0.000 0.500 0.500
Te1 0.000 0.500 0.000
# * ΔE_f (raw): -0.379 eV/atom
# * E_tot: -28.145 eV per atom



No. 5
# FeTcPb2 meta-GGA SCAN PBEsol geometry
data_FeTcPb2
_chemical_formula_sum 'Fe1 Tc1 Pb2'
_cell_length_a 3.458
_cell_length_b 4.256
_cell_length_c 5.174
_cell_angle_alpha 90.00
_cell_angle_beta 90.00
_cell_angle_gamma 90.00
_symmetry_space_group_name_H-M 'P m m m'
_symmetry_Int_Tables_number 47
loop_
_symmetry_equiv_pos_as_xyz
'x,y,z'
'-x,-y,-z'
'-x,-y,z'
'x,y,-z'
'x,-y,-z'
'-x,y,z'
'-x,y,-z'
'x,-y,z'
loop_
_atom_site_label
_atom_site_fract_x
_atom_site_fract_y
_atom_site_fract_z
Fe1 0.000 0.000 0.000
Tc1 0.500 0.000 0.500
Pb1 0.000 0.500 0.500
Pb2 0.500 0.500 0.000
# * ΔE to the lowest computed polymorph: 470 meV per atom
# * formation energy: 0.808 eV/atom
# * E_tot: -50.380 eV per atom



No. 6
# Sb2Pt2Br meta-GGA SCAN PBEsol geometry
data_Sb2Pt2Br
_chemical_formula_sum 'Sb4 Pt4 Br2'
_cell_length_a 4.762
_cell_length_b 4.762
_cell_length_c 10.109
_cell_angle_alpha 90.00
_cell_angle_beta 90.00
_cell_angle_gamma 90.00
_symmetry_space_group_name_H-M 'I 4/m m m'
_symmetry_Int_Tables_number 139
_symmetry_space_group_name_Hall '-I 4 2'
loop_
_atom_site_label
_atom_site_fract_x
_atom_site_fract_y
_atom_site_fract_z
Sb1 0.000 0.500 0.250
Pt1 0.000 0.000 0.131
Br1 0.000 0.000 0.500
# * ΔE_f (raw): -0.113 eV/atom
# * E_tot: -46.987 eV per atom



No. 7
# ZnGe2AuS meta-GGA SCAN PBEsol geometry
data_ZnGe2AuS
_chemical_formula_sum 'Zn1 Ge2 Au1 S1'
_cell_length_a 4.898
_cell_length_b 4.898
_cell_length_c 4.360
_cell_angle_alpha 90.00
_cell_angle_beta 90.00
_cell_angle_gamma 90.00
_symmetry_space_group_name_H-M 'P 4/m m m'
_symmetry_Int_Tables_number 123
_symmetry_space_group_name_Hall '-P 4 2'
loop_
_atom_site_label
_atom_site_fract_x
_atom_site_fract_y
_atom_site_fract_z
Zn1 0.000 0.000 0.000
Ge1 0.000 0.500 0.500
Au1 0.500 0.500 0.000
S1 0.000 0.000 0.500
# * ΔE_f (raw): 0.613 eV/atom
# * E_tot: -25.482 eV per atom



No. 8
# Sc3AgOs meta-GGA SCAN PBEsol geometry
data_Sc3AgOs
_chemical_formula_sum 'Sc3 Ag1 Os1'
_cell_length_a 4.948
_cell_length_b 4.948
_cell_length_c 4.948
_cell_angle_alpha 90.00
_cell_angle_beta 90.00
_cell_angle_gamma 90.00
_symmetry_space_group_name_H-M 'P m -3 m'
_symmetry_Int_Tables_number 221
_symmetry_space_group_name_Hall '-P 4 2 3'
loop_
_atom_site_label
_atom_site_fract_x
_atom_site_fract_y
_atom_site_fract_z
Sc1 0.000 0.000 0.500
Ag1 0.500 0.500 0.500
Os1 0.000 0.000 0.000
# * formation energy: -0.036 eV/atom
# * E_tot: -29.228 eV per atom